(1)
CaTaNb2Ge | GGA-PBE | optimized geometry

Computed properties:
- formation energy (eV/atom) = 0.873

a b c (Å): 4.9598 4.9598 5.1071
angles (deg): 90.00 90.00 90.00
Sites, in units of the cell vectors:
Ca  0.0000  0.0000  0.0000
Ta  0.5000  0.5000  0.5000
Nb  0.0000  0.5000  0.5000
Nb  0.5000  0.0000  0.5000
Ge  0.5000  0.5000  0.0000

***

(2)
ScZnSeN2 | GGA-PBE | optimized geometry

Computed properties:
- energy relative to the elements, uncorrected (eV/atom) = 0.682
- polymorph energy (0 for the lowest one) (meV/atom) = 104

a b c (Å): 3.8794 3.8794 5.1809
angles (deg): 90.00 90.00 90.00
Sites, in units of the cell vectors:
Sc  0.0000  0.0000  0.0000
Zn  0.5000  0.5000  0.5000
Se  0.5000  0.5000  0.0000
N  0.0000  0.5000  0.5000
N  0.5000  0.0000  0.5000

***

(3)
La4Sn2Hg | GGA-PBE | optimized geometry

Computed properties:
- polymorph energy (0 for the lowest one) (meV/atom) = 347
- formation energy (eV/atom) = -0.204

a b c (Å): 9.4632 9.4632 9.4632
angles (deg): 145.24 145.24 49.98
Sites, in units of the cell vectors:
La  0.0000  0.5000  0.5000
La  0.1852  0.1852  0.0000
La  0.5000  0.0000  0.5000
La  0.8148  0.8148  0.0000
Sn  0.3717  0.3717  0.0000
Sn  0.6283  0.6283  0.0000
Hg  0.0000  0.0000  0.0000

***

(4)
Ce8TcOs3Cl4 | GGA-PBE | optimized geometry

Computed properties:
- energy relative to the elements, uncorrected (eV/atom) = -0.816

a b c (Å): 8.7243 8.7243 8.7243
angles (deg): 54.88 54.88 54.88
Sites, in units of the cell vectors:
Ce  0.2348  0.2348  0.2348
Ce  0.2368  0.7345  0.7345
Ce  0.2655  0.2655  0.7632
Ce  0.2655  0.7632  0.2655
Ce  0.7345  0.2368  0.7345
Ce  0.7345  0.7345  0.2368
Ce  0.7632  0.2655  0.2655
Ce  0.7652  0.7652  0.7652
Tc  0.5000  0.5000  0.5000
Os  0.0000  0.0000  0.5000
Os  0.0000  0.5000  0.0000
Os  0.5000  0.0000  0.0000
Cl  0.0000  0.0000  0.0000
Cl  0.0000  0.5000  0.5000
Cl  0.5000  0.0000  0.5000
Cl  0.5000  0.5000  0.0000

***

(5)
Dy3Si6Ni2Rh | GGA-PBE | optimized geometry

Computed properties:
- energy relative to the elements, uncorrected (eV/atom) = -0.412

a b c (Å): 5.6756 5.6756 7.7113
angles (deg): 90.00 90.00 120.00
Sites, in units of the cell vectors:
Dy  0.0000  0.0000  0.0000
Dy  0.3333  0.6667  0.6200
Dy  0.6667  0.3333  0.3800
Si  0.1906  0.3812  0.2851
Si  0.1906  0.8094  0.2851
Si  0.3812  0.1906  0.7149
Si  0.6188  0.8094  0.2851
Si  0.8094  0.1906  0.7149
Si  0.8094  0.6188  0.7149
Ni  0.3333  0.6667  0.0431
Ni  0.6667  0.3333  0.9569
Rh  0.0000  0.0000  0.5000

***

(6)
SiSb2Os | GGA-PBE | optimized geometry

Computed properties:
- energy relative to the elements, uncorrected (eV/atom) = 0.261

a b c (Å): 9.7635 9.7635 9.7635
angles (deg): 18.76 18.76 18.76
Sites, in units of the cell vectors:
Si  0.0000  0.0000  0.0000
Sb  0.5361  0.5361  0.5361
Sb  0.7453  0.7453  0.7453
Os  0.2752  0.2752  0.2752

***

(7)
RbBaAg3 | GGA-PBE | optimized geometry

Computed properties:
- polymorph energy (0 for the lowest one) (meV/atom) = 0
- formation energy (eV/atom) = 0.334

a b c (Å): 6.4110 6.4110 6.4110
angles (deg): 90.00 90.00 90.00
Sites, in units of the cell vectors:
Rb  0.0000  0.0000  0.0000
Ba  0.5000  0.5000  0.5000
Ag  0.0000  0.5000  0.5000
Ag  0.5000  0.0000  0.5000
Ag  0.5000  0.5000  0.0000

***

(8)
KDyZnF6 | GGA-PBE | optimized geometry

Computed properties:
- energy relative to the elements, uncorrected (eV/atom) = -3.226

a b c (Å): 5.7720 5.7720 11.0420
angles (deg): 90.00 90.00 120.00
Sites, in units of the cell vectors:
K  0.0000  0.0000  0.0000
K  0.0000  0.0000  0.5000
Dy  0.3333  0.6667  0.2500
Dy  0.6667  0.3333  0.7500
Zn  0.3333  0.6667  0.7500
Zn  0.6667  0.3333  0.2500
F  0.0151  0.3840  0.6471
F  0.0151  0.6311  0.8529
F  0.3689  0.3840  0.8529
F  0.3689  0.9849  0.6471
F  0.3840  0.0151  0.1471
F  0.3840  0.3689  0.3529
F  0.6160  0.6311  0.6471
F  0.6160  0.9849  0.8529
F  0.6311  0.0151  0.3529
F  0.6311  0.6160  0.1471
F  0.9849  0.3689  0.1471
F  0.9849  0.6160  0.3529

***

(9)
Sc2ZnOsBr | GGA-PBE | optimized geometry

Computed properties:
- energy relative to the elements, uncorrected (eV/atom) = 0.342

a b c (Å): 4.9860 4.9860 5.3106
angles (deg): 90.00 90.00 90.00
Sites, in units of the cell vectors:
Sc  0.0000  0.5000  0.0000
Sc  0.5000  0.0000  0.0000
Zn  0.0000  0.0000  0.5000
Os  0.5000  0.5000  0.0000
Br  0.5000  0.5000  0.5000

***

(10)
KLiU2S6 | GGA-PBE | optimized geometry

Computed properties:
- energy relative to the elements, uncorrected (eV/atom) = -1.253

a b c (Å): 7.2719 7.2719 7.2719
angles (deg): 57.69 57.69 57.69
Sites, in units of the cell vectors:
K  0.0000  0.0000  0.0000
Li  0.5586  0.5586  0.5586
U  0.2406  0.2406  0.2406
U  0.7503  0.7503  0.7503
S  0.1169  0.4946  0.8743
S  0.4396  0.9858  0.5525
S  0.4946  0.8743  0.1169
S  0.5525  0.4396  0.9858
S  0.8743  0.1169  0.4946
S  0.9858  0.5525  0.4396

***

(11)
TbZn12Ag7 | GGA-PBE | optimized geometry

Computed properties:
- formation energy (eV/atom) = 0.223

a b c (Å): 8.1668 8.1668 8.1668
angles (deg): 109.47 109.47 109.47
Sites, in units of the cell vectors:
Tb  0.0000  0.0000  0.0000
Zn  0.1074  0.3549  0.7525
Zn  0.2475  0.6023  0.3549
Zn  0.2475  0.8926  0.6451
Zn  0.3549  0.2475  0.6023
Zn  0.3549  0.7525  0.1074
Zn  0.3977  0.6451  0.7525
Zn  0.6023  0.3549  0.2475
Zn  0.6451  0.2475  0.8926
Zn  0.6451  0.7525  0.3977
Zn  0.7525  0.1074  0.3549
Zn  0.7525  0.3977  0.6451
Zn  0.8926  0.6451  0.2475
Ag  0.0000  0.0000  0.5000
Ag  0.0000  0.5000  0.0000
Ag  0.0000  0.5000  0.5000
Ag  0.5000  0.0000  0.0000
Ag  0.5000  0.0000  0.5000
Ag  0.5000  0.5000  0.0000
Ag  0.5000  0.5000  0.5000

***

(12)
PmNbH3 | GGA-PBE | optimized geometry

Computed properties:
- final energy (eV/atom) = -5.28

a b c (Å): 3.8448 3.8448 3.8448
angles (deg): 90.00 90.00 90.00
Sites, in units of the cell vectors:
Pm  0.0000  0.0000  0.0000
Nb  0.5000  0.5000  0.5000
H  0.0000  0.5000  0.5000
H  0.5000  0.0000  0.5000
H  0.5000  0.5000  0.0000

***

(13)
Pr2MnC2 | GGA-PBE | optimized geometry

Computed properties:
- formation energy (eV/atom) = -0.125

a b c (Å): 6.2874 6.2874 6.8628
angles (deg): 118.97 118.97 50.53
Sites, in units of the cell vectors:
Pr  0.0435  0.0435  0.2941
Pr  0.3154  0.3154  0.8751
Pr  0.6846  0.6846  0.1249
Pr  0.9565  0.9565  0.7059
Mn  0.3714  0.3714  0.3679
Mn  0.6286  0.6286  0.6321
C  0.1926  0.1926  0.1241
C  0.4897  0.4897  0.6984
C  0.5103  0.5103  0.3016
C  0.8074  0.8074  0.8759

***

(14)
Sr3CrCd | GGA-PBE | optimized geometry

Computed properties:
- polymorph energy (0 for the lowest one) (meV/atom) = 0
- formation energy (eV/atom) = 0.521

a b c (Å): 6.2370 6.2370 6.2370
angles (deg): 90.00 90.00 90.00
Sites, in units of the cell vectors:
Sr  0.0000  0.0000  0.5000
Sr  0.0000  0.5000  0.0000
Sr  0.5000  0.0000  0.0000
Cr  0.5000  0.5000  0.5000
Cd  0.0000  0.0000  0.0000

***

(15)
Pm3Pr5Dy3 | GGA-PBE | optimized geometry

Computed properties:
- formation energy (eV/atom) = 0.303

a b c (Å): 11.4465 11.4465 3.4754
angles (deg): 90.00 90.00 120.00
Sites, in units of the cell vectors:
Pm  0.0000  0.5978  0.0000
Pm  0.4022  0.4022  0.0000
Pm  0.5978  0.0000  0.0000
Pr  0.0000  0.3377  0.5000
Pr  0.3333  0.6667  0.5000
Pr  0.3377  0.0000  0.5000
Pr  0.6623  0.6623  0.5000
Pr  0.6667  0.3333  0.5000
Dy  0.0000  0.8411  0.5000
Dy  0.1589  0.1589  0.5000
Dy  0.8411  0.0000  0.5000

***

(16)
Pm5Pd2Rh2 | GGA-PBE | optimized geometry

Computed properties:
- formation energy (eV/atom) = -0.693

a b c (Å): 8.4371 8.4371 7.7005
angles (deg): 90.00 90.00 54.58
Sites, in units of the cell vectors:
Pm  0.0000  0.0000  0.0000
Pm  0.0384  0.6941  0.6665
Pm  0.1941  0.5384  0.1665
Pm  0.3059  0.9616  0.6665
Pm  0.4616  0.8059  0.1665
Pm  0.5000  0.5000  0.5000
Pm  0.5384  0.1941  0.8335
Pm  0.6941  0.0384  0.3335
Pm  0.8059  0.4616  0.8335
Pm  0.9616  0.3059  0.3335
Pd  0.2057  0.2057  0.0000
Pd  0.2943  0.2943  0.5000
Pd  0.7057  0.7057  0.5000
Pd  0.7943  0.7943  0.0000
Rh  0.1329  0.8671  0.3683
Rh  0.3671  0.6329  0.8683
Rh  0.6329  0.3671  0.1317
Rh  0.8671  0.1329  0.6317

***

(17)
CsMn2PdBr8 | GGA-PBE | optimized geometry

Computed properties:
- energy relative to the elements, uncorrected (eV/atom) = -0.758

a b c (Å): 6.8192 6.8192 10.0755
angles (deg): 90.00 90.00 120.00
Sites, in units of the cell vectors:
Cs  0.0000  0.0000  0.0000
Mn  0.3333  0.6667  0.7153
Mn  0.6667  0.3333  0.2847
Pd  0.0000  0.0000  0.5000
Br  0.0094  0.6967  0.3464
Br  0.3033  0.3127  0.3464
Br  0.3127  0.0094  0.6536
Br  0.3333  0.6667  0.9549
Br  0.6667  0.3333  0.0451
Br  0.6873  0.9906  0.3464
Br  0.6967  0.6873  0.6536
Br  0.9906  0.3033  0.6536

***

(18)
BaNbSbTe2 | GGA-PBE | optimized geometry

Computed properties:
- energy relative to the elements, uncorrected (eV/atom) = 1.268
- polymorph energy (0 for the lowest one) (meV/atom) = 1803

a b c (Å): 6.2734 6.2734 6.0892
angles (deg): 90.00 90.00 90.00
Sites, in units of the cell vectors:
Ba  0.0000  0.0000  0.0000
Nb  0.5000  0.5000  0.5000
Sb  0.0000  0.0000  0.5000
Te  0.0000  0.5000  0.0000
Te  0.5000  0.0000  0.0000

***

(19)
Sm2ErSb3 | GGA-PBE | optimized geometry

Computed properties:
- energy relative to the elements, uncorrected (eV/atom) = -1.146

a b c (Å): 7.6800 7.6800 7.6735
angles (deg): 99.60 99.60 120.01
Sites, in units of the cell vectors:
Sm  0.0000  0.0000  0.0000
Sm  0.1650  0.8350  0.5000
Sm  0.5000  0.5000  0.5000
Sm  0.8350  0.1650  0.5000
Er  0.3328  0.6672  0.0000
Er  0.6672  0.3328  0.0000
Sb  0.0819  0.4194  0.2453
Sb  0.2566  0.2566  0.7564
Sb  0.4194  0.0819  0.2453
Sb  0.5806  0.9181  0.7547
Sb  0.7434  0.7434  0.2436
Sb  0.9181  0.5806  0.7547

***

(20)
BaFeIr2 | GGA-PBE | optimized geometry

Computed properties:
- formation energy (eV/atom) = 0.412

a b c (Å): 8.5476 8.5476 8.5476
angles (deg): 144.99 144.99 50.35
Sites, in units of the cell vectors:
Ba  0.3750  0.6250  0.7500
Ba  0.6250  0.3750  0.2500
Fe  0.1250  0.8750  0.2500
Fe  0.8750  0.1250  0.7500
Ir  0.0000  0.0000  0.0000
Ir  0.0000  0.0000  0.5000
Ir  0.0000  0.5000  0.0000
Ir  0.5000  0.0000  0.5000